one:
Density functional theory data (PBE) for a relaxed structure of V3SiI.

a = 4.7219 Å, b = 4.7219 Å, c = 4.7219 Å
α = 90.00°, β = 90.00°, γ = 90.00°
Positions (direct):
V 0.0000 0.5000 0.0000
Si 0.5000 0.5000 0.5000
I 0.0000 0.0000 0.0000
V 0.5000 0.0000 0.0000
V 0.0000 0.0000 0.5000

- symmetry = Pm-3m (221)

two:
Density functional theory data (PBE) for a relaxed structure of V3SiI.

a = 4.7198 Å, b = 4.7198 Å, c = 4.7198 Å
α = 90.00°, β = 90.00°, γ = 90.00°
Positions (direct):
Si 0.0000 0.0000 0.0000
V 0.5000 0.0000 0.0000
V 0.0000 0.0000 0.5000
V 0.0000 0.5000 0.0000
I 0.5000 0.5000 0.5000

- symmetry = Pm-3m (221)

Most stable: two

one:
Density functional theory data (PBE) for a relaxed structure of V2SiI.

a = 4.4839 Å, b = 4.4839 Å, c = 4.4839 Å
α = 60.00°, β = 60.00°, γ = 60.00°
Positions (direct):
I 0.5000 0.5000 0.5000
V 0.2500 0.2500 0.2500
Si 0.0000 0.0000 0.0000
V 0.7500 0.7500 0.7500

- symmetry = Fm-3m (225)

two:
Density functional theory data (PBE) for a relaxed structure of V2SiI.

a = 5.7958 Å, b = 5.7958 Å, c = 7.4347 Å
α = 67.06°, β = 67.06°, γ = 90.00°
Positions (direct):
I 0.7500 0.2500 0.5000
V 0.3750 0.4256 0.7500
I 0.0000 0.0000 0.0000
V 0.5744 0.1250 0.2500
Si 0.5000 0.5000 0.0000
V 0.1756 0.6250 0.2500
Si 0.2500 0.7500 0.5000
V 0.8750 0.8244 0.7500

- symmetry = I-42d (122)

Most stable: one

one:
Density functional theory data (PBE) for a relaxed structure of VSiI2.

a = 7.8903 Å, b = 7.8903 Å, c = 6.6192 Å
α = 53.42°, β = 53.42°, γ = 90.00°
Positions (direct):
I 0.6544 0.1250 0.2500
I 0.3750 0.3456 0.7500
Si 0.2500 0.7500 0.5000
V 0.7500 0.2500 0.5000
I 0.0956 0.6250 0.2500
V 0.0000 0.0000 0.0000
I 0.8750 0.9044 0.7500
Si 0.5000 0.5000 0.0000

- symmetry = I-42d (122)

two:
Density functional theory data (PBE) for a relaxed structure of VSiI2.

a = 5.1708 Å, b = 5.1708 Å, c = 5.1708 Å
α = 60.00°, β = 60.00°, γ = 60.00°
Positions (direct):
I 0.7500 0.7500 0.7500
V 0.5000 0.5000 0.5000
Si 0.0000 0.0000 0.0000
I 0.2500 0.2500 0.2500

- symmetry = Fm-3m (225)

Most stable: one

one:
Density functional theory data (PBE) for a relaxed structure of Y4SiI5.

a = 4.1987 Å, b = 8.8131 Å, c = 9.7949 Å
α = 102.38°, β = 102.38°, γ = 90.00°
Positions (direct):
I 0.8337 0.6638 0.6673
Y 0.6449 0.0731 0.2899
Si 0.5000 0.0000 0.0000
I 0.1719 0.8289 0.3438
I 0.8281 0.1711 0.6562
I 0.1663 0.3362 0.3327
I 0.5000 0.5000 0.0000
Y 0.3551 0.9269 0.7101
Y 0.0000 0.2089 0.0000
Y 0.0000 0.7911 0.0000

- symmetry = C2/m (12)

two:
Density functional theory data (PBE) for a relaxed structure of Y4SiI5.

a = 4.1899 Å, b = 8.7642 Å, c = 10.7631 Å
α = 89.66°, β = 101.22°, γ = 90.00°
Positions (direct):
I 0.8479 0.2533 0.6958
Si 0.5000 0.0000 0.0000
Y 0.0000 0.2101 0.0001
Y 0.6262 0.9981 0.2524
I 0.5000 0.5000 0.0000
I 0.1521 0.7467 0.3042
Y 0.3738 0.0019 0.7476
I 0.1523 0.2489 0.3046
I 0.8477 0.7511 0.6954
Y 0.0000 0.7899 0.9999

- symmetry = C2/m (12)

Most stable: one

one:
Density functional theory data (PBE) for a relaxed structure of Y2SiI.

a = 5.2502 Å, b = 5.2502 Å, c = 5.2502 Å
α = 60.00°, β = 60.00°, γ = 60.00°
Positions (direct):
Si 0.0000 0.0000 0.0000
Y 0.7500 0.7500 0.7500
Y 0.2500 0.2500 0.2500
I 0.5000 0.5000 0.5000

- symmetry = Fm-3m (225)

two:
Density functional theory data (PBE) for a relaxed structure of Y2SiI.

a = 6.6533 Å, b = 6.6533 Å, c = 8.2643 Å
α = 66.26°, β = 66.26°, γ = 90.00°
Positions (direct):
I 0.7500 0.2500 0.5000
Y 0.8750 0.8220 0.7500
Y 0.5720 0.1250 0.2500
Si 0.2500 0.7500 0.5000
Y 0.3750 0.4280 0.7500
I 0.0000 0.0000 0.0000
Y 0.1780 0.6250 0.2500
Si 0.5000 0.5000 0.0000

- symmetry = I-42d (122)

three:
Density functional theory data (PBE) for a relaxed structure of Y2SiI.

a = 4.2196 Å, b = 4.2196 Å, c = 7.8330 Å
α = 74.37°, β = 74.37°, γ = 60.00°
Positions (direct):
Y 0.2696 0.2696 0.1911
Si 0.0000 0.0000 0.0000
I 0.5000 0.5000 0.5000
Y 0.7304 0.7304 0.8089

- symmetry = R-3m (166)

Most stable: three

one:
Density functional theory data (PBE) for a relaxed structure of ZnSiI2.

a = 8.9446 Å, b = 8.9446 Å, c = 8.9304 Å
α = 59.95°, β = 59.95°, γ = 90.00°
Positions (direct):
Si 0.5000 0.5000 0.0000
Si 0.2500 0.7500 0.5000
I 0.8750 0.6309 0.7500
Zn 0.0000 0.0000 0.0000
I 0.3691 0.6250 0.2500
I 0.3750 0.6191 0.7500
I 0.3809 0.1250 0.2500
Zn 0.7500 0.2500 0.5000

- symmetry = I-42d (122)

two:
Density functional theory data (PBE) for a relaxed structure of ZnSiI2.

a = 5.3615 Å, b = 5.3615 Å, c = 5.3615 Å
α = 60.00°, β = 60.00°, γ = 60.00°
Positions (direct):
Zn 0.5000 0.5000 0.5000
I 0.2500 0.2500 0.2500
Si 0.0000 0.0000 0.0000
I 0.7500 0.7500 0.7500

- symmetry = Fm-3m (225)

Most stable: one

one:
Density functional theory data (PBE) for a relaxed structure of ZrSiI3.

a = 5.5531 Å, b = 5.5531 Å, c = 5.5531 Å
α = 90.00°, β = 90.00°, γ = 90.00°
Positions (direct):
Si 0.0000 0.0000 0.0000
I 0.0000 0.0000 0.5000
I 0.5000 0.0000 0.0000
I 0.0000 0.5000 0.0000
Zr 0.5000 0.5000 0.5000

- symmetry = Pm-3m (221)

two:
Density functional theory data (PBE) for a relaxed structure of ZrSiI3.

a = 5.7621 Å, b = 5.7621 Å, c = 5.7621 Å
α = 90.00°, β = 90.00°, γ = 90.00°
Positions (direct):
Si 0.5000 0.5000 0.5000
I 0.0000 0.5000 0.0000
I 0.0000 0.0000 0.5000
Zr 0.0000 0.0000 0.0000
I 0.5000 0.0000 0.0000

- symmetry = Pm-3m (221)

Most stable: two

one:
Density functional theory data (PBE) for a relaxed structure of ZrSi3I.

a = 5.2460 Å, b = 5.2460 Å, c = 5.2460 Å
α = 90.00°, β = 90.00°, γ = 90.00°
Positions (direct):
I 0.5000 0.5000 0.5000
Si 0.0000 0.0000 0.5000
Si 0.0000 0.5000 0.0000
Si 0.5000 0.0000 0.0000
Zr 0.0000 0.0000 0.0000

- symmetry = Pm-3m (221)

two:
Density functional theory data (PBE) for a relaxed structure of ZrSi3I.

a = 5.0776 Å, b = 5.0776 Å, c = 5.0776 Å
α = 90.00°, β = 90.00°, γ = 90.00°
Positions (direct):
Si 0.5000 0.0000 0.0000
I 0.0000 0.0000 0.0000
Zr 0.5000 0.5000 0.5000
Si 0.0000 0.0000 0.5000
Si 0.0000 0.5000 0.0000

- symmetry = Pm-3m (221)

Most stable: one

one:
Density functional theory data (PBE) for a relaxed structure of TbSmI2.

a = 3.8829 Å, b = 3.8829 Å, c = 10.9854 Å
α = 79.82°, β = 79.82°, γ = 60.00°
Positions (direct):
Sm 0.5000 0.5000 0.5000
Tb 0.0000 0.0000 0.0000
I 0.9037 0.9037 0.2888
I 0.0963 0.0963 0.7112

- symmetry = R-3m (166)

two:
Density functional theory data (PBE) for a relaxed structure of TbSmI2.

a = 3.8320 Å, b = 3.8320 Å, c = 9.8562 Å
α = 78.79°, β = 78.79°, γ = 60.00°
Positions (direct):
Tb 0.5019 0.5019 0.4942
I 0.2485 0.2485 0.2546
Sm 0.6646 0.6646 0.0061
I 0.0850 0.0850 0.7451

- symmetry = R3m (160)

Most stable: two

one:
Density functional theory data (PBE) for a relaxed structure of TbSmI6.

a = 8.1805 Å, b = 8.1805 Å, c = 7.5520 Å
α = 98.32°, β = 98.32°, γ = 125.03°
Positions (direct):
I 0.0986 0.3941 0.2466
I 0.7517 0.7517 0.2481
I 0.6059 0.9014 0.7534
I 0.2483 0.2483 0.7519
I 0.3941 0.0986 0.2466
I 0.9014 0.6059 0.7534
Tb 0.0000 0.0000 0.0000
Sm 0.5000 0.5000 0.5000

- symmetry = C2/m (12)

two:
Density functional theory data (PBE) for a relaxed structure of TbSmI6.

a = 7.6922 Å, b = 7.6927 Å, c = 8.2508 Å
α = 62.21°, β = 62.22°, γ = 60.00°
Positions (direct):
Tb 0.5000 0.5000 0.5000
I 0.9085 0.5870 0.2519
I 0.5870 0.2527 0.2519
I 0.2527 0.9085 0.2518
I 0.0915 0.4130 0.7481
I 0.4130 0.7473 0.7481
Sm 0.0000 0.0000 0.0000
I 0.7473 0.0915 0.7482

- symmetry = R-3 (148)

Most stable: one

one:
Density functional theory data (PBE) for a relaxed structure of SmTeI.

a = 4.2300 Å, b = 6.9607 Å, c = 8.1297 Å
α = 115.35°, β = 105.08°, γ = 90.00°
Positions (direct):
Sm 0.1435 0.1435 0.2870
Te 0.7972 0.2972 0.5944
Sm 0.8565 0.8565 0.7130
I 0.5000 0.2466 0.0000
I 0.5000 0.7534 0.0000
Te 0.2028 0.7028 0.4056

- symmetry = Immm (71)

two:
Density functional theory data (PBE) for a relaxed structure of SmTeI.

a = 4.4776 Å, b = 4.4776 Å, c = 7.4145 Å
α = 90.00°, β = 90.00°, γ = 120.00°
Positions (direct):
Te 0.0000 0.0000 0.0985
I 0.3333 0.6667 0.5851
Sm 0.6667 0.3333 0.3164

- symmetry = P3m1 (156)

three:
Density functional theory data (PBE) for a relaxed structure of SmTeI.

a = 5.3921 Å, b = 5.3921 Å, c = 5.3921 Å
α = 60.00°, β = 60.00°, γ = 60.00°
Positions (direct):
I 0.5000 0.5000 0.5000
Sm 0.2500 0.2500 0.2500
Te 0.0000 0.0000 0.0000

- symmetry = F-43m (216)

four:
Density functional theory data (PBE) for a relaxed structure of SmTeI.

a = 4.4572 Å, b = 6.2367 Å, c = 9.5956 Å
α = 90.00°, β = 90.00°, γ = 90.00°
Positions (direct):
I 0.5000 0.5000 0.6461
Sm 0.5000 0.0000 0.1274
Te 0.5000 0.5000 0.1048
Te 0.0000 0.0000 0.8952
Sm 0.0000 0.5000 0.8726
I 0.0000 0.0000 0.3539

- symmetry = Pmmn (59)

Most stable: four

one:
Density functional theory data (PBE) for a relaxed structure of SmYI6.

a = 7.6834 Å, b = 7.6832 Å, c = 8.2432 Å
α = 62.21°, β = 62.21°, γ = 59.99°
Positions (direct):
I 0.4134 0.7466 0.7479
Y 0.5000 0.5000 0.5000
Sm 0.0000 0.0000 0.0000
I 0.9081 0.5865 0.2522
I 0.7466 0.0919 0.7480
I 0.2534 0.9081 0.2520
I 0.0919 0.4135 0.7478
I 0.5866 0.2534 0.2521

- symmetry = R-3 (148)

two:
Density functional theory data (PBE) for a relaxed structure of SmYI6.

a = 7.5396 Å, b = 7.5422 Å, c = 8.2938 Å
α = 62.96°, β = 81.77°, γ = 71.64°
Positions (direct):
Sm 0.5000 0.5000 0.0000
I 0.2477 0.2488 0.0000
Y 0.0000 0.0000 0.0000
I 0.2459 0.9000 0.7097
I 0.7523 0.7512 0.0000
I 0.7541 0.1000 0.2903
I 0.2459 0.6098 0.2903
I 0.7541 0.3902 0.7097

- symmetry = C2/m (12)

Most stable: two